1.
A geometry-optimized YTmGeBr2 structure, computed with GGA-PBE.

Summary:
Calculated total energy ... -5.22 eV per atom

Cell: 4.1120 4.1120 10.0119 Å, 90.00 90.00 120.00°
Closest atoms and distances in Å follow each position.
Space group P3m1 (No. 156)
Unique sites:
1 Y 0.0000 0.0000 0.0000 x1  3 Ge 2.87, 3 Br 2.97
2 Tm 0.3333 0.6667 0.6830 x1  3 Ge 2.84, 3 Br 2.94
3 Ge 0.6667 0.3333 0.8387 x1  3 Tm 2.84, 3 Y 2.87
4 Br 0.0000 0.0000 0.5096 x1  3 Tm 2.94
5 Br 0.3333 0.6667 0.1780 x1  3 Y 2.97

2.
A geometry-optimized GdPuZn structure, computed with GGA-PBE.

Summary:
Relative energy among the computed polymorphs ... 0.000 eV/atom

Cell: 6.9741 6.9741 6.9741 Å, 90.00 90.00 90.00°
Closest atoms and distances in Å follow each position.
Space group F-43m (No. 216)
Unique sites:
1 Gd 0.0000 0.0000 0.0000 x4  4 Zn 3.02
2 Pu 0.0000 0.0000 0.5000 x4  4 Zn 3.02
3 Zn 0.2500 0.2500 0.2500 x4  4 Gd 3.02, 4 Pu 3.02